Below is a relaxed structure of TcSn2Hg, with properties calculated at the GGA-PBE level.

a b c (Å): 3.0505 3.0505 35.3470
angles (deg): 90.00 90.00 120.00
Space group R-3m (No. 166, hexagonal axes)
Symmetry-distinct sites (fractional):
Tc (0.0000, 0.0000, 0.0000) x3
Sn (0.0000, 0.0000, 0.0776) x6
Hg (0.0000, 0.0000, 0.5000) x3

Properties
Energy of formation: 238.5 kJ/mol of formula units